Entry from the Alexandria database: a geometry-optimized LuInHgPb structure (GGA-PBE).

Lattice parameters (Å, degrees): 7.5749 7.5749 7.5749 90.00 90.00 90.00
With the nearest neighbours (Å) after each atom.
Atoms (fractional coordinates):
Lu1 0.0000 0.0000 0.0000  4 Hg 3.28, 4 In 3.28
Lu2 0.0000 0.5000 0.5000  4 Hg 3.28, 4 In 3.28
Lu3 0.5000 0.0000 0.5000  4 Hg 3.28, 4 In 3.28
Lu4 0.5000 0.5000 0.0000  4 Hg 3.28, 4 In 3.28
In1 0.2500 0.2500 0.2500  4 Pb 3.28, 4 Lu 3.28
In2 0.2500 0.7500 0.7500  4 Pb 3.28, 4 Lu 3.28
In3 0.7500 0.2500 0.7500  4 Pb 3.28, 4 Lu 3.28
In4 0.7500 0.7500 0.2500  4 Pb 3.28, 4 Lu 3.28
Hg1 0.2500 0.2500 0.7500  4 Pb 3.28, 4 Lu 3.28
Hg2 0.2500 0.7500 0.2500  4 Pb 3.28, 4 Lu 3.28
Hg3 0.7500 0.2500 0.2500  4 Pb 3.28, 4 Lu 3.28
Hg4 0.7500 0.7500 0.7500  4 Lu 3.28, 4 Pb 3.28
Pb1 0.0000 0.0000 0.5000  4 Hg 3.28, 4 In 3.28
Pb2 0.0000 0.5000 0.0000  4 Hg 3.28, 4 In 3.28
Pb3 0.5000 0.0000 0.0000  4 Hg 3.28, 4 In 3.28
Pb4 0.5000 0.5000 0.5000  4 Hg 3.28, 4 In 3.28

Values from the calculation:
As for the symmetry: F-43m (216). The value obtained for the density is 10.7 Mg/m³. The value obtained for the energy of formation is -0.128 eV per atom.